[1]
Material: CrRu2S2
Method: DFT, PBE
State: optimized geometry

Summary:
E_form (uncorrected): 0.28 eV/atom
distance to the lowest polymorph of the same formula: 0.00 eV per formula unit
D(E_F): 0.4589 states/eV per atom

a = 4.3832 Å, b = 4.3832 Å, c = 5.1721 Å
α = 64.93°, β = 64.93°, γ = 90.00°
Last column: nearest neighbours and their distance in Å.
Fractional positions:
S: 0.2500 0.7500 0.5000  4 Ru 2.34
S: 0.7500 0.2500 0.5000  4 Ru 2.34
Ru: 0.6511 0.6511 0.6978  4 S 2.34, 1 Ru 2.50
Ru: 0.3489 0.3489 0.3022  4 S 2.34, 1 Ru 2.50
Cr: 0.0000 0.0000 0.0000  2 Ru 2.89, 8 S 3.01

***

[2]
Material: CrRuS2
Method: DFT, PBE
State: optimized geometry

Summary:
E_form (uncorrected): -0.23 eV/atom
distance to the lowest polymorph of the same formula: 0.01 eV per formula unit
D(E_F): 0.7283 states/eV per atom

a = 5.1849 Å, b = 5.1849 Å, c = 6.4195 Å
α = 66.18°, β = 66.18°, γ = 90.00°
Last column: nearest neighbours and their distance in Å.
Fractional positions:
S: 0.8750 0.8706 0.7500  2 Cr 2.24, 2 Ru 2.27
S: 0.3750 0.3794 0.7500  2 Cr 2.24, 2 Ru 2.27
S: 0.6206 0.1250 0.2500  2 Cr 2.24, 2 Ru 2.27
S: 0.1294 0.6250 0.2500  2 Cr 2.24, 2 Ru 2.27
Ru: 0.7500 0.2500 0.5000  4 S 2.27
Ru: 0.0000 0.0000 0.0000  4 S 2.27
Cr: 0.5000 0.5000 0.0000  4 S 2.24
Cr: 0.2500 0.7500 0.5000  4 S 2.24

***

[3]
Material: CrRuS2
Method: DFT, PBE
State: optimized geometry

Summary:
E_form (uncorrected): 0.04 eV/atom
distance to the lowest polymorph of the same formula: 1.07 eV per formula unit
D(E_F): 0.7443 states/eV per atom

a = 4.1353 Å, b = 4.1353 Å, c = 4.1353 Å
α = 60.00°, β = 60.00°, γ = 60.00°
Last column: nearest neighbours and their distance in Å.
Fractional positions:
Cr: 0.0000 0.0000 0.0000  8 S 2.53
S: 0.2500 0.2500 0.2500  4 Cr 2.53, 4 Ru 2.53
S: 0.7500 0.7500 0.7500  4 Cr 2.53, 4 Ru 2.53
Ru: 0.5000 0.5000 0.5000  8 S 2.53

***

[4]
Material: CrRu3S
Method: DFT, PBE
State: optimized geometry

Summary:
E_form (uncorrected): 1.54 eV/atom
distance to the lowest polymorph of the same formula: 3.34 eV per formula unit
D(E_F): 1.0149 states/eV per atom

a = 4.4515 Å, b = 4.4515 Å, c = 4.4515 Å
α = 90.00°, β = 90.00°, γ = 90.00°
Last column: nearest neighbours and their distance in Å.
Fractional positions:
Ru: 0.5000 0.0000 0.0000  2 Cr 2.23
Ru: 0.0000 0.5000 0.0000  2 Cr 2.23
Ru: 0.0000 0.0000 0.5000  2 Cr 2.23
Cr: 0.0000 0.0000 0.0000  6 Ru 2.23
S: 0.5000 0.5000 0.5000  12 Ru 3.15

***

[5]
Material: CrRuS3
Method: DFT, PBE
State: optimized geometry

Summary:
E_form (uncorrected): 0.73 eV/atom
distance to the lowest polymorph of the same formula: 0.00 eV per formula unit
D(E_F): 1.3393 states/eV per atom

a = 4.3672 Å, b = 4.3672 Å, c = 4.3672 Å
α = 90.00°, β = 90.00°, γ = 90.00°
Last column: nearest neighbours and their distance in Å.
Fractional positions:
S: 0.5000 0.0000 0.0000  2 Cr 2.18
S: 0.0000 0.5000 0.0000  2 Cr 2.18
S: 0.0000 0.0000 0.5000  2 Cr 2.18
Cr: 0.0000 0.0000 0.0000  6 S 2.18
Ru: 0.5000 0.5000 0.5000  12 S 3.09

***

[6]
Material: CrSn2RuS
Method: DFT, PBE
State: optimized geometry

Summary:
E_form (uncorrected): 0.77 eV/atom
D(E_F): 0.9560 states/eV per atom

a = 5.0750 Å, b = 4.3408 Å, c = 5.0750 Å
α = 90.00°, β = 90.00°, γ = 90.00°
Last column: nearest neighbours and their distance in Å.
Fractional positions:
Sn: 0.5000 0.0000 0.0000  2 Cr 2.54
Sn: 0.0000 0.0000 0.5000  2 Cr 2.54
S: 0.5000 0.5000 0.5000  8 Sn 3.34, 4 Ru 3.59
Cr: 0.0000 0.0000 0.0000  2 Ru 2.17
Ru: 0.0000 0.5000 0.0000  2 Cr 2.17

***

[7]
Material: Cr2TeRuS
Method: DFT, PBE
State: optimized geometry

Summary:
E_form (uncorrected): 0.96 eV/atom
D(E_F): 1.1210 states/eV per atom

a = 4.9007 Å, b = 4.8355 Å, c = 4.9007 Å
α = 90.00°, β = 90.00°, γ = 90.00°
Last column: nearest neighbours and their distance in Å.
Fractional positions:
Cr: 0.0000 0.0000 0.5000  2 Ru 2.45
Cr: 0.5000 0.0000 0.0000  2 Ru 2.45
Ru: 0.0000 0.0000 0.0000  2 Te 2.42, 4 Cr 2.45
Te: 0.0000 0.5000 0.0000  2 Ru 2.42
S: 0.5000 0.5000 0.5000  8 Cr 3.44, 4 Te 3.47

***

[8]
Material: TlCrRuS3
Method: DFT, PBE
State: optimized geometry

Summary:
E_form (uncorrected): -0.45 eV/atom
D(E_F): 0.3908 states/eV per atom

a = 3.5420 Å, b = 7.8497 Å, c = 9.7194 Å
α = 114.51°, β = 90.00°, γ = 90.00°
Last column: nearest neighbours and their distance in Å.
Fractional positions:
Ru: 0.2500 0.0780 0.6165  4 S 2.26-2.38
Ru: 0.7500 0.9220 0.3835  4 S 2.26-2.38
Tl: 0.2500 0.2671 0.2670  4 S 3.09-3.25
Tl: 0.7500 0.7329 0.7330  4 S 3.09-3.25
S: 0.7500 0.4658 0.1181  3 Cr 2.40-2.43
S: 0.2500 0.1148 0.8660  1 Ru 2.32, 2 Cr 2.38
S: 0.7500 0.2322 0.5776  3 Ru 2.26-2.38, 1 Cr 2.44
S: 0.7500 0.8852 0.1340  1 Ru 2.32, 2 Cr 2.38
S: 0.2500 0.5342 0.8819  3 Cr 2.40-2.43
S: 0.2500 0.7678 0.4224  3 Ru 2.26-2.38, 1 Cr 2.44
Cr: 0.2500 0.6927 0.1525  6 S 2.38-2.44
Cr: 0.7500 0.3073 0.8475  6 S 2.38-2.44